[1]
Entry from the Alexandria database: HgS3N after structural relaxation (PBE).

```
HgS3N
1.0
5.135 0.000 0.000
0.000 5.135 0.000
0.000 0.000 5.135
S Hg N
3 1 1
Direct
0.000 0.500 0.000
0.000 0.000 0.500
0.500 0.000 0.000
0.000 0.000 0.000
0.500 0.500 0.500
```

Results
- SG = Pm-3m, No. 221
- calculated total energy (eV/atom) = -2.200
- ΔE to the lowest computed polymorph (meV/atom) = 1693

***

[2]
Entry from the Alexandria database: Mn4NiBr after structural relaxation (PBE).

```
Mn4NiBr
1.0
0.000 3.398 3.398
3.398 0.000 3.398
3.398 3.398 0.000
Mn Ni Br
4 1 1
Direct
0.624 0.624 0.624
0.624 0.624 0.128
0.624 0.128 0.624
0.128 0.624 0.624
0.250 0.250 0.250
0.000 0.000 0.000
```

Results
- SG = F-43m, No. 216
- calculated total energy (eV/atom) = -6.522

***

[3]
Entry from the Alexandria database: BaYPb2 after structural relaxation (PBE).

```
BaYPb2
1.0
6.774 0.021 -0.023
5.733 3.607 -0.023
-0.842 -0.244 5.710
Ba Pb Y
1 2 1
Direct
0.239 0.239 0.148
0.980 0.980 0.088
0.781 0.781 0.664
0.500 0.500 0.600
```

Results
- SG = Cm, No. 8
- energy relative to the elements (eV per atom) = -0.363
- calculated total energy (eV/atom) = -4.314